[1]
A plane-wave DFT calculation with PBE was carried out for Ta3Rh after structural relaxation.

Density in g/cm3: 15.49
Uncorrected energy in eV per cell: -43.2
Energy relative to the elements in meV/atom: -61
Symmetry: Pm-3m (221)
Crystal system: cubic

a b c (Å): 4.1064 4.1064 4.1064
angles (deg): 90.00 90.00 90.00
Last column: nearest neighbours and their distance in Å.
Positions (direct):
Ta1 0.0000 0.5000 0.5000  8 Ta 2.90, 4 Rh 2.90
Ta2 0.5000 0.0000 0.5000  8 Ta 2.90, 4 Rh 2.90
Ta3 0.5000 0.5000 0.0000  8 Ta 2.90, 4 Rh 2.90
Rh1 0.0000 0.0000 0.0000  12 Ta 2.90

---

[2]
A plane-wave DFT calculation with PBE was carried out for PmSmIn6 after structural relaxation.

Density in g/cm3: 7.92
E above lowest polymorph in meV/atom: 0
Uncorrected energy in eV per cell: -29.6
Energy relative to the elements in meV/atom: -464
Symmetry: P4/mmm (123)
Crystal system: tetragonal

a b c (Å): 4.6899 4.6899 9.3848
angles (deg): 90.00 90.00 90.00
Last column: nearest neighbours and their distance in Å.
Positions (direct):
Pm1 0.0000 0.0000 0.5000  12 In 3.32
Sm1 0.0000 0.0000 0.0000  12 In 3.31-3.32
In1 0.5000 0.5000 0.0000  8 In 3.31, 4 Sm 3.32
In2 0.5000 0.5000 0.5000  4 Pm 3.32, 8 In 3.32
In3 0.5000 0.0000 0.2494  8 In 3.31-3.32, 2 Sm 3.31, 2 Pm 3.32
In4 0.5000 0.0000 0.7506  8 In 3.31-3.32, 2 Sm 3.31, 2 Pm 3.32
In5 0.0000 0.5000 0.2494  8 In 3.31-3.32, 2 Sm 3.31, 2 Pm 3.32
In6 0.0000 0.5000 0.7506  8 In 3.31-3.32, 2 Sm 3.31, 2 Pm 3.32

---

[3]
A plane-wave DFT calculation with PBE was carried out for La4ZnTe3 after structural relaxation.

Density in g/cm3: 6.25
ΔE_f (raw) in meV/atom: -1241
Uncorrected energy in eV per cell: -40.3
Symmetry: Cmmm (65)
Crystal system: orthorhombic

a b c (Å): 4.4557 7.9427 7.9427
angles (deg): 108.47 90.00 90.00
Last column: nearest neighbours and their distance in Å.
Positions (direct):
Zn1 0.5000 0.0000 0.0000  6 La 3.15-3.16
Te1 0.0000 0.0000 0.5000  6 La 3.22
Te2 0.5000 0.5000 0.5000  6 La 3.29
Te3 0.0000 0.5000 0.0000  6 La 3.22
La1 0.0000 0.2397 0.2397  2 Zn 3.15, 4 Te 3.22-3.29
La2 0.5000 0.7549 0.2451  1 Zn 3.16, 5 Te 3.22-3.29
La3 0.0000 0.7603 0.7603  2 Zn 3.15, 4 Te 3.22-3.29
La4 0.5000 0.2451 0.7549  1 Zn 3.16, 5 Te 3.22-3.29

---

[4]
A plane-wave DFT calculation with PBE was carried out for NaSm4Dy3Se8 after structural relaxation.

Density in g/cm3: 7.24
ΔE_f (raw) in meV/atom: -1765
Uncorrected energy in eV per cell: -90.1
Symmetry: R-3m (166)
Crystal system: trigonal

a b c (Å): 8.2557 8.2813 8.2559
angles (deg): 119.90 120.00 90.00
Last column: nearest neighbours and their distance in Å.
Positions (direct):
Na1 0.0000 0.5000 0.0000  6 Se 2.89
Sm1 0.5000 0.0000 0.0000  6 Se 2.96
Sm2 0.5000 0.0000 0.5000  6 Se 2.96
Sm3 0.0000 0.0000 0.0000  6 Se 2.96
Sm4 0.0000 0.0000 0.5000  6 Se 2.96
Dy1 0.5000 0.5000 0.0000  6 Se 2.89
Dy2 0.5000 0.5000 0.5000  6 Se 2.89
Dy3 0.0000 0.5000 0.5000  6 Se 2.89
Se1 0.2472 0.7413 0.9940  2 Dy 2.89, 1 Na 2.89, 3 Sm 2.96
Se2 0.2473 0.7413 0.4945  2 Dy 2.89, 1 Na 2.89, 3 Sm 2.96
Se3 0.2530 0.2589 0.5059  3 Dy 2.89, 3 Sm 2.96
Se4 0.7468 0.7413 0.9940  2 Dy 2.89, 1 Na 2.89, 3 Sm 2.96
Se5 0.2532 0.2587 0.0060  2 Dy 2.89, 1 Na 2.89, 3 Sm 2.96
Se6 0.7470 0.7411 0.4941  3 Dy 2.89, 3 Sm 2.96
Se7 0.7527 0.2587 0.5055  2 Dy 2.89, 1 Na 2.89, 3 Sm 2.96
Se8 0.7528 0.2587 0.0060  2 Dy 2.89, 1 Na 2.89, 3 Sm 2.96

---

[5]
A plane-wave DFT calculation with PBE was carried out for Ho6Al5Ag after structural relaxation.

Density in g/cm3: 7.32
Uncorrected energy in eV per cell: -53.6
Energy relative to the elements in meV/atom: -378
Symmetry: P2/m (10)
Crystal system: monoclinic

a b c (Å): 5.0882 7.1949 8.0562
angles (deg): 90.00 71.36 90.00
Last column: nearest neighbours and their distance in Å.
Positions (direct):
Ho1 0.8332 0.7494 0.3334  7 Al 3.11-3.14, 1 Ag 3.12
Ho2 0.8332 0.2506 0.3334  7 Al 3.11-3.14, 1 Ag 3.12
Ho3 0.5000 0.2505 0.0000  6 Al 3.10-3.11, 2 Ag 3.12
Ho4 0.5000 0.7495 0.0000  6 Al 3.10-3.11, 2 Ag 3.12
Ho5 0.1668 0.7494 0.6666  7 Al 3.11-3.14, 1 Ag 3.12
Ho6 0.1668 0.2506 0.6666  7 Al 3.11-3.14, 1 Ag 3.12
Ag1 0.0000 0.0000 0.0000  8 Ho 3.12
Al1 0.6670 0.5000 0.6669  8 Ho 3.11
Al2 0.3348 0.0000 0.3301  8 Ho 3.10-3.14
Al3 0.0000 0.5000 0.0000  8 Ho 3.11
Al4 0.6652 0.0000 0.6699  8 Ho 3.10-3.14
Al5 0.3330 0.5000 0.3331  8 Ho 3.11

---

[6]
A plane-wave DFT calculation with PBE was carried out for LaPu4Te6 after structural relaxation.

Density in g/cm3: 8.56
ΔE_f (raw) in meV/atom: -1181
Uncorrected energy in eV per cell: -188.2
Symmetry: Cmcm (63)
Crystal system: orthorhombic

a b c (Å): 4.4175 7.6329 22.6128
angles (deg): 90.00 90.00 106.82
Last column: nearest neighbours and their distance in Å.
Positions (direct):
La1 0.6574 0.3148 0.2500  6 Te 3.21-3.31
La2 0.3426 0.6852 0.7500  6 Te 3.21-3.31
Pu1 0.8600 0.7201 0.5398  6 Te 3.12-3.18
Pu2 0.4104 0.8208 0.1271  6 Te 3.10-3.16
Pu3 0.1400 0.2799 0.4602  6 Te 3.12-3.18
Pu4 0.5896 0.1792 0.8729  6 Te 3.10-3.16
Pu5 0.8600 0.7201 0.9602  6 Te 3.12-3.18
Pu6 0.1400 0.2799 0.0398  6 Te 3.12-3.18
Pu7 0.5896 0.1792 0.6271  6 Te 3.10-3.16
Pu8 0.4104 0.8208 0.3729  6 Te 3.10-3.16
Te1 0.5000 0.0000 0.0000  6 Pu 3.14-3.16
Te2 0.5000 0.0000 0.5000  6 Pu 3.14-3.16
Te3 0.0498 0.0997 0.3341  3 Pu 3.13-3.14, 2 La 3.31
Te4 0.9502 0.9003 0.6659  3 Pu 3.13-3.14, 2 La 3.31
Te5 0.9502 0.9003 0.8341  3 Pu 3.13-3.14, 2 La 3.31
Te6 0.0498 0.0997 0.1659  3 Pu 3.13-3.14, 2 La 3.31
Te7 0.7710 0.5420 0.4114  5 Pu 3.12-3.18
Te8 0.2290 0.4580 0.5886  5 Pu 3.12-3.18
Te9 0.2290 0.4580 0.9114  5 Pu 3.12-3.18
Te10 0.7710 0.5420 0.0886  5 Pu 3.12-3.18
Te11 0.3169 0.6338 0.2500  2 Pu 3.10, 2 La 3.21
Te12 0.6831 0.3662 0.7500  2 Pu 3.10, 2 La 3.21

---

[7]
A plane-wave DFT calculation with PBE was carried out for RbLiMg2Cl6 after structural relaxation.

Density in g/cm3: 1.80
ΔE_f (raw) in meV/atom: -1834
Uncorrected energy in eV per cell: -71.0
Symmetry: C2/c (15)
Crystal system: monoclinic

a b c (Å): 7.6079 9.6143 9.6143
angles (deg): 91.68 75.26 75.26
Last column: nearest neighbours and their distance in Å.
Positions (direct):
Rb1 0.2500 0.8841 0.1159  6 Cl 3.26-3.37
Rb2 0.7500 0.1159 0.8841  6 Cl 3.26-3.37
Li1 0.2500 0.2092 0.7908  4 Cl 2.36-2.45
Li2 0.7500 0.7908 0.2092  4 Cl 2.36-2.45
Mg1 0.3242 0.7659 0.6091  4 Cl 2.34-2.41
Mg2 0.1758 0.3909 0.2341  4 Cl 2.34-2.41
Mg3 0.6758 0.2341 0.3909  4 Cl 2.34-2.41
Mg4 0.8242 0.6091 0.7659  4 Cl 2.34-2.41
Cl1 0.2034 0.9661 0.7860  1 Mg 2.36, 1 Li 2.45
Cl2 0.2966 0.2140 0.0339  1 Mg 2.36, 1 Li 2.45
Cl3 0.7966 0.0339 0.2140  1 Mg 2.36, 1 Li 2.45
Cl4 0.7034 0.7860 0.9661  1 Mg 2.36, 1 Li 2.45
Cl5 0.4527 0.8262 0.3789  1 Mg 2.34, 1 Li 2.36
Cl6 0.0473 0.6211 0.1738  1 Mg 2.34, 1 Li 2.36
Cl7 0.5473 0.1738 0.6211  1 Mg 2.34, 1 Li 2.36
Cl8 0.9527 0.3789 0.8262  1 Mg 2.34, 1 Li 2.36
Cl9 0.0503 0.6911 0.5921  2 Mg 2.38-2.41
Cl10 0.4497 0.4079 0.3089  2 Mg 2.38-2.41
Cl11 0.9497 0.3089 0.4079  2 Mg 2.38-2.41
Cl12 0.5503 0.5921 0.6911  2 Mg 2.38-2.41

---

[8]
A plane-wave DFT calculation with PBE was carried out for Nd4DyTm5 after structural relaxation.

Density in g/cm3: 8.19
E above lowest polymorph in meV/atom: 0
Uncorrected energy in eV per cell: -45.8
Energy relative to the elements in meV/atom: 23
Symmetry: P4/mmm (123)
Crystal system: tetragonal

a b c (Å): 3.5879 3.5879 24.9536
angles (deg): 90.00 90.00 90.00
Last column: nearest neighbours and their distance in Å.
Positions (direct):
Nd1 0.0000 0.0000 0.1984  8 Tm 3.56-3.58, 4 Nd 3.59
Nd2 0.0000 0.0000 0.3995  8 Tm 3.57, 4 Nd 3.59
Nd3 0.0000 0.0000 0.6005  8 Tm 3.57, 4 Nd 3.59
Nd4 0.0000 0.0000 0.8016  8 Tm 3.56-3.58, 4 Nd 3.59
Dy1 0.0000 0.0000 0.0000  8 Tm 3.51, 4 Dy 3.59
Tm1 0.5000 0.5000 0.0973  4 Dy 3.51, 4 Nd 3.58, 4 Tm 3.59
Tm2 0.5000 0.5000 0.2986  8 Nd 3.56-3.57, 4 Tm 3.59
Tm3 0.5000 0.5000 0.5000  8 Nd 3.57, 4 Tm 3.59
Tm4 0.5000 0.5000 0.7014  8 Nd 3.56-3.57, 4 Tm 3.59
Tm5 0.5000 0.5000 0.9027  4 Dy 3.51, 4 Nd 3.58, 4 Tm 3.59

---

[9]
A plane-wave DFT calculation with PBE was carried out for Pr6Ga2Cu after structural relaxation.

Density in g/cm3: 5.61
Uncorrected energy in eV per cell: -77.8
Energy relative to the elements in meV/atom: -7
Symmetry: P4_2/mnm (136)
Crystal system: tetragonal

a b c (Å): 7.4340 7.4340 11.2368
angles (deg): 90.00 90.00 90.00
Last column: nearest neighbours and their distance in Å.
Positions (direct):
Pr1 0.2873 0.2873 0.3292  1 Cu 2.95, 2 Ga 3.04-3.10
Pr2 0.7127 0.7127 0.3292  1 Cu 2.95, 2 Ga 3.04-3.10
Pr3 0.2127 0.7873 0.8292  1 Cu 2.95, 2 Ga 3.04-3.10
Pr4 0.7873 0.2127 0.8292  1 Cu 2.95, 2 Ga 3.04-3.10
Pr5 0.2127 0.7873 0.1708  1 Cu 2.95, 2 Ga 3.04-3.10
Pr6 0.7873 0.2127 0.1708  1 Cu 2.95, 2 Ga 3.04-3.10
Pr7 0.2873 0.2873 0.6708  1 Cu 2.95, 2 Ga 3.04-3.10
Pr8 0.7127 0.7127 0.6708  1 Cu 2.95, 2 Ga 3.04-3.10
Pr9 0.2638 0.2638 0.0000  1 Cu 2.77, 2 Ga 2.93
Pr10 0.7362 0.7362 0.0000  1 Cu 2.77, 2 Ga 2.93
Pr11 0.2362 0.7638 0.5000  1 Cu 2.77, 2 Ga 2.93
Pr12 0.7638 0.2362 0.5000  1 Cu 2.77, 2 Ga 2.93
Ga1 0.0000 0.0000 0.3614  6 Pr 2.93-3.10, 1 Ga 3.11
Ga2 0.5000 0.5000 0.8614  6 Pr 2.93-3.10, 1 Ga 3.11
Ga3 0.5000 0.5000 0.1386  6 Pr 2.93-3.10, 1 Ga 3.11
Ga4 0.0000 0.0000 0.6386  6 Pr 2.93-3.10, 1 Ga 3.11
Cu1 0.0000 0.0000 0.0000  6 Pr 2.77-2.95
Cu2 0.5000 0.5000 0.5000  6 Pr 2.77-2.95

---

[10]
A plane-wave DFT calculation with PBE was carried out for BaSr2PtPb after structural relaxation.

Density in g/cm3: 5.75
Uncorrected energy in eV per cell: -17.6
Energy relative to the elements in meV/atom: -522
Symmetry: P4/mmm (123)
Crystal system: tetragonal

a b c (Å): 5.8356 5.8356 6.0654
angles (deg): 90.00 90.00 90.00
Last column: nearest neighbours and their distance in Å.
Positions (direct):
Pb1 0.5000 0.5000 0.5000  4 Ba 4.13, 8 Sr 4.21
Sr1 0.0000 0.5000 0.0000  2 Pt 2.92
Sr2 0.5000 0.0000 0.0000  2 Pt 2.92
Ba1 0.0000 0.0000 0.5000  2 Pt 3.03
Pt1 0.0000 0.0000 0.0000  4 Sr 2.92, 2 Ba 3.03

---

Question: uncorrected energy of number 4 (NaSm4Dy3Se8)?
Answer: -90.1 eV per cell

---

Question: Look up the density of the second one.
Answer: 7.92 g/cm3